(1)
A relaxed structure of SrZnIn2Pd. Source: Alexandria, functional PBE.

Calculated values
The value obtained for the calculated formation energy is -0.294 eV/atom. The total magnetic moment comes out at 0.00 μB per cell.

a = 5.203 Å, b = 5.203 Å, c = 4.948 Å
α = 90.00°, β = 90.00°, γ = 90.00°
Element x y z (fractional)
Sr: 0.000 0.000 0.000
Zn: 0.500 0.500 0.000
In: 0.000 0.500 0.500
In: 0.500 0.000 0.500
Pd: 0.500 0.500 0.500



(2)
A relaxed structure of Dy5SnPd2. Source: Alexandria, functional PBE.

Calculated values
The value obtained for the calculated formation energy is -0.692 eV/atom. The total magnetic moment comes out at 0.00 μB per cell.

a = 8.723 Å, b = 8.723 Å, c = 8.723 Å
α = 126.65°, β = 126.65°, γ = 78.82°
Element x y z (fractional)
Dy: 0.000 0.000 0.000
Dy: 0.016 0.516 0.816
Dy: 0.200 0.016 0.500
Dy: 0.300 0.800 0.816
Dy: 0.484 0.300 0.500
Dy: 0.500 0.500 0.000
Dy: 0.516 0.700 0.500
Dy: 0.700 0.200 0.184
Dy: 0.800 0.984 0.500
Dy: 0.984 0.484 0.184
Sn: 0.250 0.250 0.000
Sn: 0.750 0.750 0.000
Pd: 0.134 0.366 0.500
Pd: 0.366 0.866 0.232
Pd: 0.634 0.134 0.768
Pd: 0.866 0.634 0.500



(3)
A relaxed structure of AcLa4TbEr2. Source: Alexandria, functional PBE.

Calculated values
The value obtained for the calculated formation energy is 0.035 eV/atom. The total magnetic moment comes out at 0.00 μB per cell.

a = 6.367 Å, b = 6.367 Å, c = 10.523 Å
α = 114.48°, β = 114.48°, γ = 48.69°
Element x y z (fractional)
Ac: 0.000 0.000 0.000
La: 0.247 0.247 0.869
La: 0.251 0.251 0.378
La: 0.749 0.749 0.622
La: 0.753 0.753 0.131
Tb: 0.000 0.000 0.500
Er: 0.499 0.499 0.256
Er: 0.501 0.501 0.744



(4)
A relaxed structure of LaPt3. Source: Alexandria, functional PBE.

Calculated values
The value obtained for the calculated formation energy is -0.851 eV/atom. The total magnetic moment comes out at 0.00 μB per cell.

a = 5.431 Å, b = 4.384 Å, c = 6.827 Å
α = 90.00°, β = 90.00°, γ = 90.00°
Element x y z (fractional)
La: 0.250 0.000 0.186
La: 0.750 0.000 0.814
Pt: 0.000 0.500 0.500
Pt: 0.250 0.000 0.632
Pt: 0.250 0.500 0.870
Pt: 0.500 0.500 0.500
Pt: 0.750 0.000 0.368
Pt: 0.750 0.500 0.130



(5)
A relaxed structure of AlAg2Se. Source: Alexandria, functional PBE.

Calculated values
The value obtained for the formation energy without anion corrections is 103 meV per atom. The total magnetic moment comes out at 0.00 μB per cell.

a = 8.691 Å, b = 8.691 Å, c = 8.691 Å
α = 21.27°, β = 21.27°, γ = 21.27°
Element x y z (fractional)
Al: 0.000 0.000 0.000
Ag: 0.254 0.254 0.254
Ag: 0.746 0.746 0.746
Se: 0.500 0.500 0.500



(6)
A relaxed structure of AlPH. Source: Alexandria, functional PBE.

Calculated values
The total energy is -3.848 eV/atom. The total magnetic moment comes out at 0.00 μB per cell.

a = 3.754 Å, b = 3.754 Å, c = 2.759 Å
α = 90.00°, β = 90.00°, γ = 120.00°
Element x y z (fractional)
Al: 0.000 0.000 0.000
P: 0.333 0.667 0.500
H: 0.667 0.333 0.000



(7)
A relaxed structure of KN2F6. Source: Alexandria, functional PBE.

Calculated values
The value obtained for the formation energy without anion corrections is -716 meV per atom. The total magnetic moment comes out at 2.00 μB per cell.

a = 7.373 Å, b = 7.373 Å, c = 8.401 Å
α = 123.89°, β = 123.89°, γ = 67.83°
Element x y z (fractional)
K: 0.009 0.991 0.750
K: 0.991 0.009 0.250
N: 0.323 0.428 0.375
N: 0.428 0.323 0.875
N: 0.572 0.677 0.125
N: 0.677 0.572 0.625
F: 0.118 0.214 0.160
F: 0.214 0.118 0.660
F: 0.234 0.560 0.275
F: 0.239 0.534 0.522
F: 0.440 0.766 0.225
F: 0.466 0.761 0.978
F: 0.534 0.239 0.022
F: 0.560 0.234 0.775
F: 0.761 0.466 0.478
F: 0.766 0.440 0.725
F: 0.786 0.882 0.340
F: 0.882 0.786 0.840



(8)
A relaxed structure of PtS2IN. Source: Alexandria, functional PBE.

Calculated values
The value obtained for the formation energy without anion corrections is 821 meV per atom. The total magnetic moment comes out at 0.00 μB per cell.

a = 5.082 Å, b = 5.082 Å, c = 3.715 Å
α = 90.00°, β = 90.00°, γ = 90.00°
Element x y z (fractional)
Pt: 0.000 0.000 0.000
S: 0.000 0.500 0.000
S: 0.500 0.000 0.000
I: 0.500 0.500 0.500
N: 0.000 0.000 0.500



(9)
A relaxed structure of CaY2Er. Source: Alexandria, functional PBE.

Calculated values
The value obtained for the calculated formation energy is 0.069 eV/atom. The total magnetic moment comes out at 0.00 μB per cell.

a = 3.614 Å, b = 3.614 Å, c = 10.388 Å
α = 90.00°, β = 90.00°, γ = 90.00°
Element x y z (fractional)
Ca: 0.000 0.000 0.000
Y: 0.500 0.500 0.271
Y: 0.500 0.500 0.729
Er: 0.000 0.000 0.500



(10)
A relaxed structure of Ce2YPdS4. Source: Alexandria, functional PBE.

Calculated values
The value obtained for the formation energy without anion corrections is -1544 meV per atom. The total magnetic moment comes out at 2.35 μB per cell.

a = 5.926 Å, b = 5.926 Å, c = 5.926 Å
α = 109.33°, β = 109.33°, γ = 109.76°
Element x y z (fractional)
Ce: 0.000 0.500 0.500
Ce: 0.500 0.000 0.500
Y: 0.000 0.000 0.000
Pd: 0.500 0.500 0.000
S: 0.076 0.076 0.587
S: 0.489 0.489 0.413
S: 0.511 0.924 0.000
S: 0.924 0.511 0.000



(11)
A relaxed structure of LaZn2Ru. Source: Alexandria, functional PBE.

Calculated values
The value obtained for the calculated formation energy is -0.018 eV/atom. The total magnetic moment comes out at 0.00 μB per cell.

a = 9.836 Å, b = 9.836 Å, c = 9.836 Å
α = 154.49°, β = 154.49°, γ = 36.39°
Element x y z (fractional)
La: 0.000 0.000 0.000
La: 0.750 0.250 0.500
Zn: 0.277 0.625 0.152
Zn: 0.375 0.527 0.652
Zn: 0.473 0.125 0.848
Zn: 0.875 0.723 0.348
Ru: 0.250 0.750 0.500
Ru: 0.500 0.500 0.000



(12)
A relaxed structure of Dy2PCl. Source: Alexandria, functional PBE.

Calculated values
The value obtained for the formation energy without anion corrections is -1515 meV per atom. The total magnetic moment comes out at 0.00 μB per cell.

a = 7.324 Å, b = 7.324 Å, c = 7.324 Å
α = 31.17°, β = 31.17°, γ = 31.17°
Element x y z (fractional)
Dy: 0.000 0.000 0.000
Dy: 0.194 0.194 0.194
P: 0.595 0.595 0.595
Cl: 0.766 0.766 0.766



(13)
A relaxed structure of Ce2HgAu3. Source: Alexandria, functional PBE.

Calculated values
The value obtained for the calculated formation energy is -0.613 eV/atom. The total magnetic moment comes out at 1.50 μB per cell.

a = 3.394 Å, b = 4.851 Å, c = 8.467 Å
α = 90.00°, β = 90.00°, γ = 90.00°
Element x y z (fractional)
Ce: 0.000 0.000 0.000
Ce: 0.000 0.500 0.475
Hg: 0.500 0.500 0.818
Au: 0.500 0.000 0.322
Au: 0.500 0.000 0.651
Au: 0.500 0.500 0.153



(14)
A relaxed structure of Al2BiP2. Source: Alexandria, functional PBE.

Calculated values
The value obtained for the calculated formation energy is 0.117 eV/atom. The total magnetic moment comes out at 0.00 μB per cell.

a = 5.490 Å, b = 5.490 Å, c = 5.490 Å
α = 128.04°, β = 128.04°, γ = 76.57°
Element x y z (fractional)
Al: 0.153 0.153 0.000
Al: 0.847 0.847 0.000
Bi: 0.500 0.500 0.000
P: 0.250 0.750 0.500
P: 0.750 0.250 0.500



(15)
A relaxed structure of LaTlIn2. Source: Alexandria, functional PBE.

Calculated values
The value obtained for the calculated formation energy is -0.254 eV/atom. The total magnetic moment comes out at 0.00 μB per cell.

a = 3.379 Å, b = 5.418 Å, c = 6.298 Å
α = 90.00°, β = 90.00°, γ = 90.00°
Element x y z (fractional)
La: 0.000 0.000 0.000
Tl: 0.500 0.000 0.500
In: 0.500 0.500 0.244
In: 0.500 0.500 0.756



(16)
A relaxed structure of Zr2NbPdI. Source: Alexandria, functional PBE.

Calculated values
The value obtained for the formation energy without anion corrections is 1084 meV per atom. The total magnetic moment comes out at 1.52 μB per cell.

a = 5.240 Å, b = 5.240 Å, c = 4.784 Å
α = 90.00°, β = 90.00°, γ = 90.00°
Element x y z (fractional)
Zr: 0.000 0.500 0.000
Zr: 0.500 0.000 0.000
Nb: 0.000 0.000 0.500
Pd: 0.500 0.500 0.500
I: 0.500 0.500 0.000



(17)
A relaxed structure of NbGeN. Source: Alexandria, functional PBE.

Calculated values
The value obtained for the formation energy without anion corrections is -337 meV per atom. The total magnetic moment comes out at 0.00 μB per cell.

a = 5.756 Å, b = 5.756 Å, c = 5.112 Å
α = 95.31°, β = 95.31°, γ = 29.48°
Element x y z (fractional)
Nb: 0.000 0.000 0.000
Nb: 0.239 0.239 0.726
Ge: 0.538 0.538 0.464
Ge: 0.787 0.787 0.257
N: 0.425 0.425 0.726
N: 0.648 0.648 0.983



(18)
A relaxed structure of PaCdSe4. Source: Alexandria, functional PBE.

Calculated values
The value obtained for the formation energy without anion corrections is -749 meV per atom. The total magnetic moment comes out at 1.87 μB per cell.

a = 6.925 Å, b = 6.703 Å, c = 7.039 Å
α = 90.00°, β = 91.84°, γ = 90.00°
Element x y z (fractional)
Pa: 0.000 0.000 0.000
Pa: 0.000 0.500 0.500
Cd: 0.500 0.000 0.500
Cd: 0.500 0.500 0.000
Se: 0.137 0.144 0.345
Se: 0.137 0.356 0.845
Se: 0.374 0.621 0.393
Se: 0.374 0.879 0.893
Se: 0.626 0.121 0.107
Se: 0.626 0.379 0.607
Se: 0.863 0.644 0.155
Se: 0.863 0.856 0.655



(19)
A relaxed structure of CrPd2Pt3. Source: Alexandria, functional PBE.

Calculated values
The value obtained for the calculated formation energy is -0.061 eV/atom. The total magnetic moment comes out at 4.49 μB per cell.

a = 6.962 Å, b = 6.962 Å, c = 5.474 Å
α = 100.83°, β = 100.83°, γ = 46.28°
Element x y z (fractional)
Cr: 0.245 0.755 0.750
Cr: 0.755 0.245 0.250
Pd: 0.331 0.343 0.915
Pd: 0.343 0.331 0.415
Pd: 0.657 0.669 0.585
Pd: 0.669 0.657 0.085
Pt: 0.143 0.152 0.570
Pt: 0.152 0.143 0.070
Pt: 0.274 0.726 0.250
Pt: 0.726 0.274 0.750
Pt: 0.848 0.857 0.930
Pt: 0.857 0.848 0.430



(20)
A relaxed structure of HfBSeBr2. Source: Alexandria, functional PBE.

Calculated values
The value obtained for the formation energy without anion corrections is 616 meV per atom. The total magnetic moment comes out at 0.00 μB per cell.

a = 4.603 Å, b = 4.603 Å, c = 4.561 Å
α = 90.00°, β = 90.00°, γ = 90.00°
Element x y z (fractional)
Hf: 0.000 0.000 0.000
B: 0.500 0.500 0.500
Se: 0.500 0.500 0.000
Br: 0.000 0.500 0.500
Br: 0.500 0.000 0.500



(21)
A relaxed structure of LiHgBPt2. Source: Alexandria, functional PBE.

Calculated values
The value obtained for the calculated formation energy is -0.226 eV/atom. The total magnetic moment comes out at 0.00 μB per cell.

a = 4.151 Å, b = 4.151 Å, c = 4.442 Å
α = 90.00°, β = 90.00°, γ = 90.00°
Element x y z (fractional)
Li: 0.000 0.000 0.000
Hg: 0.500 0.500 0.000
B: 0.000 0.000 0.500
Pt: 0.000 0.500 0.500
Pt: 0.500 0.000 0.500



(22)
A relaxed structure of Er2HgIr. Source: Alexandria, functional PBE.

Calculated values
The value obtained for the calculated formation energy is -0.623 eV/atom. The total magnetic moment comes out at 0.00 μB per cell.

a = 7.832 Å, b = 7.832 Å, c = 7.832 Å
α = 29.57°, β = 29.57°, γ = 29.57°
Element x y z (fractional)
Er: 0.233 0.233 0.233
Er: 0.767 0.767 0.767
Hg: 0.000 0.000 0.000
Ir: 0.500 0.500 0.500



(23)
A relaxed structure of CsFeSi2Au. Source: Alexandria, functional PBE.

Calculated values
The value obtained for the formation energy without anion corrections is 202 meV per atom. The total magnetic moment comes out at 0.00 μB per cell.

a = 4.445 Å, b = 4.445 Å, c = 5.566 Å
α = 90.00°, β = 90.00°, γ = 90.00°
Element x y z (fractional)
Cs: 0.000 0.000 0.000
Fe: 0.500 0.500 0.500
Si: 0.000 0.500 0.500
Si: 0.500 0.000 0.500
Au: 0.500 0.500 0.000



(24)
A relaxed structure of EuIn2Sn. Source: Alexandria, functional PBE.

Calculated values
The value obtained for the calculated formation energy is -0.288 eV/atom. The total magnetic moment comes out at 7.23 μB per cell.

a = 3.942 Å, b = 3.942 Å, c = 7.316 Å
α = 90.00°, β = 90.00°, γ = 90.00°
Element x y z (fractional)
Eu: 0.000 0.000 0.000
In: 0.500 0.500 0.283
In: 0.500 0.500 0.717
Sn: 0.000 0.000 0.500



(25)
A relaxed structure of Pu3Pa2Ge4. Source: Alexandria, functional PBE.

Calculated values
The value obtained for the calculated formation energy is -0.397 eV/atom. The total magnetic moment comes out at 11.84 μB per cell.

a = 7.796 Å, b = 7.711 Å, c = 7.658 Å
α = 90.00°, β = 115.13°, γ = 90.00°
Element x y z (fractional)
Pu: 0.000 0.000 0.000
Pu: 0.000 0.500 0.500
Pu: 0.269 0.182 0.808
Pu: 0.269 0.318 0.308
Pu: 0.731 0.682 0.692
Pu: 0.731 0.818 0.192
Pa: 0.304 0.693 0.946
Pa: 0.304 0.807 0.446
Pa: 0.696 0.193 0.554
Pa: 0.696 0.307 0.054
Ge: 0.009 0.619 0.119
Ge: 0.009 0.881 0.619
Ge: 0.426 0.022 0.195
Ge: 0.426 0.478 0.695
Ge: 0.574 0.522 0.305
Ge: 0.574 0.978 0.805
Ge: 0.991 0.119 0.381
Ge: 0.991 0.381 0.881